(1)
{"formula": "AcScPb", "functional": "PBE", "state": "optimized geometry", "space_group": "No. 107", "lattice_angstrom": [[-1.9739, 1.9739, 6.1831], [1.9739, -1.9739, 6.1831], [1.9739, 1.9739, -6.1831]], "species": ["Ac", "Sc", "Pb"], "frac_coords": [[0.0000, 0.0000, 0.0000], [0.3032, 0.3032, 0.0000], [0.6920, 0.6920, 0.0000]]}


(2)
{"formula": "AcScPb", "functional": "PBE", "state": "optimized geometry", "space_group": "No. 129", "lattice_angstrom": [[4.7385, 0.0000, 0.0000], [0.0000, 4.7385, 0.0000], [0.0000, 0.0000, 8.7011]], "species": ["Ac", "Ac", "Sc", "Sc", "Pb", "Pb"], "frac_coords": [[0.2500, 0.2500, 0.1517], [0.7500, 0.7500, 0.8483], [0.2500, 0.7500, 0.5000], [0.7500, 0.2500, 0.5000], [0.2500, 0.2500, 0.7305], [0.7500, 0.7500, 0.2695]]}


(3)
{"formula": "Ac2ScPb2", "functional": "PBE", "state": "optimized geometry", "space_group": "No. 36", "lattice_angstrom": [[2.4929, -9.0133, 0.0000], [2.4929, 9.0133, 0.0000], [0.0000, 0.0000, 8.3452]], "species": ["Ac", "Ac", "Ac", "Ac", "Sc", "Sc", "Pb", "Pb", "Pb", "Pb"], "frac_coords": [[0.0298, 0.9702, 0.5000], [0.2064, 0.7936, 0.8362], [0.7936, 0.2064, 0.3362], [0.9702, 0.0298, 0.0000], [0.4044, 0.5956, 0.6502], [0.5956, 0.4044, 0.1502], [0.1711, 0.8289, 0.2368], [0.4333, 0.5667, 0.2894], [0.5667, 0.4333, 0.7894], [0.8289, 0.1711, 0.7368]]}


For reference, polymorph energy (0 for the lowest one) by record: 0.254; 0.017; 0.075 eV/atom.
For reference, ΔH_f (0 K) by record: -0.592; -1.304; -1.983 eV/f.u..